Entry 1:
A plane-wave DFT calculation with PBE was carried out for GeAs3Pd6 after structural relaxation.

Output
DFT formation energy	-0.347	eV per atom
crystal system	monoclinic
final energy	-5.3192	eV/atom

```
GeAs3Pd6
1.0
3.1410 0.0000 0.0000
0.0000 10.2736 1.1930
0.0000 -2.1334 10.0837
Ge As Pd
2 6 12
direct
0.7500 0.0506 0.6954 Ge
0.2500 0.9494 0.3046 Ge
0.7500 0.4076 0.8458 As
0.2500 0.5924 0.1542 As
0.7500 0.6856 0.5535 As
0.2500 0.3144 0.4465 As
0.7500 0.2013 0.0352 As
0.2500 0.7987 0.9648 As
0.7500 0.4540 0.6062 Pd
0.2500 0.5460 0.3938 Pd
0.7500 0.9563 0.1061 Pd
0.2500 0.0437 0.8939 Pd
0.7500 0.4047 0.1894 Pd
0.2500 0.5953 0.8106 Pd
0.7500 0.7560 0.3110 Pd
0.2500 0.2440 0.6890 Pd
0.7500 0.1137 0.4640 Pd
0.2500 0.8863 0.5360 Pd
0.7500 0.8250 0.7650 Pd
0.2500 0.1750 0.2350 Pd
```



Entry 2:
A plane-wave DFT calculation with PBE was carried out for GeAsPd4 after structural relaxation.

Output
DFT formation energy	-0.361	eV per atom
offset from the most stable computed form	82.9	meV per atom
crystal system	monoclinic
final energy	-5.3674	eV/atom

```
GeAsPd4
1.0
7.5629 0.0000 -0.0574
0.0000 4.6037 0.0000
0.0381 0.0000 5.5633
Ge As Pd
2 2 8
direct
0.5000 0.0000 0.5000 Ge
0.0000 0.5000 0.5000 Ge
0.0000 0.0000 0.0000 As
0.5000 0.5000 0.0000 As
0.8283 0.4996 0.0994 Pd
0.6717 0.9996 0.9006 Pd
0.3284 0.5003 0.3979 Pd
0.1716 0.0003 0.6021 Pd
0.1717 0.5004 0.9006 Pd
0.3283 0.0004 0.0994 Pd
0.6716 0.4997 0.6021 Pd
0.8284 0.9997 0.3979 Pd
```



Entry 3:
A plane-wave DFT calculation with PBE was carried out for GeAs2Pd6 after structural relaxation.

Output
DFT formation energy	-0.332	eV per atom
crystal system	monoclinic
final energy	-5.3406	eV/atom

```
GeAs2Pd6
1.0
-6.0652 2.9324 -0.0334
-2.4492 -5.0690 -0.2910
1.2588 -1.0606 7.8797
Ge As Pd
2 4 12
direct
0.5000 0.5000 0.0000 Ge
0.0000 0.0000 0.5000 Ge
0.9579 0.3492 0.7594 As
0.5421 0.8492 0.7406 As
0.4579 0.1508 0.2594 As
0.0421 0.6508 0.2406 As
0.6947 0.8177 0.2167 Pd
0.7695 0.6634 0.5595 Pd
0.8534 0.6796 0.9302 Pd
0.6466 0.1796 0.5698 Pd
0.7305 0.1634 0.9405 Pd
0.8053 0.3177 0.2833 Pd
0.3053 0.1823 0.7833 Pd
0.2305 0.3366 0.4405 Pd
0.1466 0.3204 0.0698 Pd
0.3534 0.8204 0.4302 Pd
0.2695 0.8366 0.0595 Pd
0.1947 0.6823 0.7167 Pd
```



Entry 4:
A plane-wave DFT calculation with PBE was carried out for Ge2AsPd4 after structural relaxation.

Output
DFT formation energy	-0.272	eV per atom
offset from the most stable computed form	0.0	meV per atom
crystal system	orthorhombic
final energy	-5.2228	eV/atom

```
Ge2AsPd4
1.0
3.1752 0.0000 0.0000
-1.5876 5.8438 0.0000
0.0000 0.0000 12.7271
Ge As Pd
4 2 8
direct
0.1302 0.2603 0.3904 Ge
0.8698 0.7397 0.8904 Ge
0.1302 0.2603 0.1096 Ge
0.8698 0.7397 0.6096 Ge
0.6861 0.3722 0.7500 As
0.3139 0.6278 0.2500 As
0.8066 0.6133 0.0825 Pd
0.8066 0.6133 0.4175 Pd
0.1934 0.3867 0.9175 Pd
0.1934 0.3867 0.5825 Pd
0.0145 0.0291 0.7500 Pd
0.9855 0.9709 0.2500 Pd
0.5000 0.0000 0.0000 Pd
0.5000 0.0000 0.5000 Pd
```



Entry 5:
A plane-wave DFT calculation with PBE was carried out for GeAsPd6 after structural relaxation.

Output
DFT formation energy	-0.243	eV per atom
crystal system	trigonal
final energy	-5.2962	eV/atom

```
GeAsPd6
1.0
6.0703 0.0048 0.0144
3.0266 5.2670 0.0162
3.0226 1.7480 4.1450
Ge As Pd
1 1 6
direct
0.5000 0.5000 0.5000 Ge
0.0000 0.0000 0.0000 As
0.0242 0.4744 0.7503 Pd
0.7510 0.0245 0.7498 Pd
0.5257 0.2490 0.2495 Pd
0.2490 0.9755 0.2502 Pd
0.9758 0.5256 0.2497 Pd
0.4743 0.7510 0.7505 Pd
```



Entry 6:
A plane-wave DFT calculation with PBE was carried out for Ge2AsPd8 after structural relaxation.

Output
DFT formation energy	-0.376	eV per atom
offset from the most stable computed form	53.8	meV per atom
crystal system	orthorhombic
final energy	-5.4152	eV/atom

```
Ge2AsPd8
1.0
3.8961 0.0000 -1.1858
-1.0850 6.2769 -3.5650
0.0435 -0.1839 7.1367
Ge As Pd
2 1 8
direct
0.1878 0.6878 0.3755 Ge
0.8122 0.3122 0.6245 Ge
0.5000 0.0000 0.0000 As
0.6647 0.8868 0.3294 Pd
0.3353 0.5575 0.6706 Pd
0.1319 0.1319 0.2638 Pd
0.0000 0.3170 0.0000 Pd
0.8681 0.8681 0.7362 Pd
0.6647 0.4425 0.3294 Pd
0.3353 0.1132 0.6706 Pd
0.0000 0.6830 0.0000 Pd
```



Entry 7:
A plane-wave DFT calculation with PBE was carried out for GeAs2Pd8 after structural relaxation.

Output
DFT formation energy	-0.342	eV per atom
offset from the most stable computed form	48.3	meV per atom
crystal system	orthorhombic
final energy	-5.3840	eV/atom

```
GeAs2Pd8
1.0
3.7844 0.0000 -1.1518
-1.0896 6.3040 -3.5803
0.1542 -0.0902 7.2999
Ge As Pd
1 2 8
direct
0.5000 0.0000 0.0000 Ge
0.1807 0.6807 0.3614 As
0.8193 0.3193 0.6386 As
0.6665 0.8853 0.3331 Pd
0.3335 0.5523 0.6669 Pd
0.1300 0.1300 0.2601 Pd
0.0000 0.3127 0.0000 Pd
0.8700 0.8700 0.7399 Pd
0.6665 0.4477 0.3331 Pd
0.3335 0.1147 0.6669 Pd
0.0000 0.6873 0.0000 Pd
```



Entry 8:
A plane-wave DFT calculation with PBE was carried out for GeAs3Pd after structural relaxation.

Output
DFT formation energy	0.910	eV per atom
offset from the most stable computed form	263.7	meV per atom
crystal system	cubic
final energy	-3.8420	eV/atom

```
GeAs3Pd
1.0
4.8573 0.0000 0.0000
0.0000 4.8573 0.0000
0.0000 0.0000 4.8573
As Ge Pd
3 1 1
direct
0.0000 0.5000 0.0000 As
0.0000 0.0000 0.5000 As
0.5000 0.0000 0.0000 As
0.0000 0.0000 0.0000 Ge
0.5000 0.5000 0.5000 Pd
```



Entry 9:
A plane-wave DFT calculation with PBE was carried out for GeAs2Pd8 after structural relaxation.

Output
DFT formation energy	-0.391	eV per atom
offset from the most stable computed form	0.0	meV per atom
crystal system	monoclinic
final energy	-5.4323	eV/atom

```
GeAs2Pd8
1.0
4.1321 0.0000 0.0000
0.0000 6.1812 -0.0185
-2.0661 -2.6617 6.7531
Ge As Pd
1 2 8
direct
0.5000 0.0000 0.0000 Ge
0.8226 0.3184 0.6452 As
0.1774 0.6816 0.3548 As
0.4099 0.5451 0.8198 Pd
0.6727 0.9596 0.3453 Pd
0.8078 0.7021 0.6155 Pd
0.9691 0.2004 0.9382 Pd
0.1922 0.2979 0.3845 Pd
0.3273 0.0404 0.6547 Pd
0.5901 0.4549 0.1802 Pd
0.0309 0.7996 0.0618 Pd
```



Entry 10:
A plane-wave DFT calculation with PBE was carried out for Ge2As2Pd after structural relaxation.

Output
DFT formation energy	0.156	eV per atom
crystal system	tetragonal
final energy	-4.5889	eV/atom

```
Ge2As2Pd
1.0
-3.6275 2.6266 5.5168
3.1099 -4.7289 4.2964
2.8571 2.5031 0.6869
As Ge Pd
4 4 2
direct
0.3403 0.8403 0.0000 As
0.8403 0.6597 0.0000 As
0.6597 0.1597 0.0000 As
0.1597 0.3403 0.0000 As
0.1656 0.6656 0.5000 Ge
0.6656 0.8344 0.5000 Ge
0.8344 0.3344 0.5000 Ge
0.3344 0.1656 0.5000 Ge
0.0000 0.0000 0.0000 Pd
0.5000 0.5000 0.0000 Pd
```



Entry 11:
A plane-wave DFT calculation with PBE was carried out for GeAs2Pd7 after structural relaxation.

Output
DFT formation energy	-0.357	eV per atom
crystal system	tetragonal
final energy	-5.3838	eV/atom

```
GeAs2Pd7
1.0
-3.7622 0.5662 1.1580
-1.0553 -3.4044 -1.7641
4.3402 -3.7376 9.0990
Ge As Pd
1 2 7
direct
0.0000 0.0000 0.0000 Ge
0.6708 0.6708 0.3416 As
0.3292 0.3292 0.6584 As
0.0962 0.5962 0.1924 Pd
0.4038 0.9038 0.8076 Pd
0.5962 0.0962 0.1924 Pd
0.5000 0.5000 0.0000 Pd
0.7500 0.2500 0.5000 Pd
0.9038 0.4038 0.8076 Pd
0.2500 0.7500 0.5000 Pd
```



Entry 12:
A plane-wave DFT calculation with PBE was carried out for GeAs3Pd after structural relaxation.

Output
DFT formation energy	0.646	eV per atom
offset from the most stable computed form	0.0	meV per atom
crystal system	cubic
final energy	-4.1057	eV/atom

```
GeAs3Pd
1.0
4.8977 0.0000 0.0000
0.0000 4.8977 0.0000
0.0000 0.0000 4.8977
As Ge Pd
3 1 1
direct
0.0000 0.5000 0.0000 As
0.0000 0.0000 0.5000 As
0.5000 0.0000 0.0000 As
0.5000 0.5000 0.5000 Ge
0.0000 0.0000 0.0000 Pd
```



Entry 13:
A plane-wave DFT calculation with PBE was carried out for GeAs2Pd2 after structural relaxation.

Output
DFT formation energy	-0.081	eV per atom
crystal system	tetragonal
final energy	-4.9417	eV/atom

```
GeAs2Pd2
1.0
7.6539 0.0000 0.0000
0.0000 7.6539 0.0000
0.0000 0.0000 3.0030
As Ge Pd
4 2 4
direct
0.1519 0.6519 0.5000 As
0.6519 0.8481 0.5000 As
0.8481 0.3481 0.5000 As
0.3481 0.1519 0.5000 As
0.0000 0.0000 0.0000 Ge
0.5000 0.5000 0.0000 Ge
0.3581 0.8581 0.0000 Pd
0.8581 0.6419 0.0000 Pd
0.6419 0.1419 0.0000 Pd
0.1419 0.3581 0.0000 Pd
```



Entry 14:
A plane-wave DFT calculation with PBE was carried out for Ge2As8Pd after structural relaxation.

Output
DFT formation energy	0.129	eV per atom
crystal system	monoclinic
final energy	-4.5641	eV/atom

```
Ge2As8Pd
1.0
5.5787 1.5003 1.1383
1.9108 8.2188 1.7399
1.9108 3.8887 7.4467
Ge As Pd
2 8 1
direct
0.5768 0.8649 0.8649 Ge
0.4232 0.1351 0.1351 Ge
0.1600 0.3251 0.8478 As
0.8400 0.1522 0.6749 As
0.1749 0.8038 0.8038 As
0.8251 0.1962 0.1962 As
0.1600 0.8478 0.3251 As
0.8400 0.6749 0.1522 As
0.8195 0.6728 0.6728 As
0.1805 0.3272 0.3272 As
0.0000 0.0000 0.0000 Pd
```



Entry 15:
A plane-wave DFT calculation with PBE was carried out for GeAsPd4 after structural relaxation.

Output
DFT formation energy	-0.444	eV per atom
offset from the most stable computed form	0.0	meV per atom
crystal system	orthorhombic
final energy	-5.4503	eV/atom

```
GeAsPd4
1.0
-1.1778 -2.8828 0.9815
-0.8801 -1.8857 -6.5945
15.2874 -6.3246 -0.2317
Ge As Pd
4 4 16
direct
0.7500 0.7203 0.8104 Ge
0.2500 0.2797 0.1896 Ge
0.2500 0.7797 0.3104 Ge
0.7500 0.2203 0.6896 Ge
0.7500 0.2569 0.4424 As
0.2500 0.7431 0.5576 As
0.2500 0.2431 0.9424 As
0.7500 0.7569 0.0576 As
0.7500 0.8573 0.6654 Pd
0.2500 0.1427 0.3346 Pd
0.2500 0.6427 0.1654 Pd
0.7500 0.3573 0.8346 Pd
0.7500 0.8927 0.4366 Pd
0.2500 0.1073 0.5634 Pd
0.2500 0.6073 0.9366 Pd
0.7500 0.3927 0.0634 Pd
0.7500 0.9526 0.9294 Pd
0.2500 0.0474 0.0706 Pd
0.2500 0.5474 0.4294 Pd
0.7500 0.4526 0.5706 Pd
0.7500 0.9724 0.2119 Pd
0.2500 0.0276 0.7881 Pd
0.2500 0.5276 0.7119 Pd
0.7500 0.4724 0.2881 Pd
```



Entry 16:
A plane-wave DFT calculation with PBE was carried out for GeAs2Pd after structural relaxation.

Output
DFT formation energy	0.180	eV per atom
crystal system	trigonal
final energy	-4.5973	eV/atom

```
GeAs2Pd
1.0
-2.3726 -1.6673 2.5384
-1.9985 -3.1385 -1.0039
4.0999 -5.8990 2.8831
As Ge Pd
2 1 1
direct
0.1145 0.1145 0.6564 As
0.8855 0.8855 0.3436 As
0.0000 0.0000 0.0000 Ge
0.5000 0.5000 0.5000 Pd
```



Entry 17:
A plane-wave DFT calculation with PBE was carried out for GeAs2Pd after structural relaxation.

Output
DFT formation energy	-0.083	eV per atom
crystal system	tetragonal
final energy	-4.8606	eV/atom

```
GeAs2Pd
1.0
-1.0982 4.1627 -3.8907
-5.2206 0.8524 2.3855
-0.9751 6.2887 2.6765
As Ge Pd
4 2 2
direct
0.6346 0.1250 0.2500 As
0.1154 0.6250 0.2500 As
0.3750 0.3654 0.7500 As
0.8750 0.8846 0.7500 As
0.5000 0.5000 0.0000 Ge
0.2500 0.7500 0.5000 Ge
0.0000 0.0000 0.0000 Pd
0.7500 0.2500 0.5000 Pd
```



Entry 18:
A plane-wave DFT calculation with PBE was carried out for Ge2As2Pd7 after structural relaxation.

Output
DFT formation energy	-0.281	eV per atom
crystal system	monoclinic
final energy	-5.2706	eV/atom

```
Ge2As2Pd7
1.0
5.8711 -0.5455 -0.6237
-0.9344 5.8341 -0.2204
-0.9344 -0.9945 5.7529
Ge As Pd
2 2 7
direct
0.0000 0.3278 0.6722 Ge
0.0000 0.6722 0.3278 Ge
0.2055 0.1487 0.1487 As
0.7945 0.8513 0.8513 As
0.7246 0.9164 0.4432 Pd
0.2754 0.5568 0.0836 Pd
0.2754 0.0836 0.5568 Pd
0.7246 0.4432 0.9164 Pd
0.5000 0.0000 0.0000 Pd
0.3507 0.6058 0.6058 Pd
0.6493 0.3942 0.3942 Pd
```



Entry 19:
A plane-wave DFT calculation with PBE was carried out for Ge2AsPd8 after structural relaxation.

Output
DFT formation energy	-0.430	eV per atom
offset from the most stable computed form	0.0	meV per atom
crystal system	monoclinic
final energy	-5.4690	eV/atom

```
Ge2AsPd8
1.0
-2.1021 2.7801 2.2898
-4.6463 -0.7209 -3.3902
0.6080 -6.3172 4.4305
Ge As Pd
2 1 8
direct
0.8195 0.2998 0.6390 Ge
0.1805 0.7002 0.3610 Ge
0.5000 0.0000 0.0000 As
0.4061 0.5507 0.8122 Pd
0.6649 0.9657 0.3298 Pd
0.7969 0.6961 0.5938 Pd
0.9739 0.2235 0.9478 Pd
0.2031 0.3039 0.4062 Pd
0.3351 0.0343 0.6702 Pd
0.5939 0.4493 0.1878 Pd
0.0261 0.7765 0.0522 Pd
```



Entry 20:
A plane-wave DFT calculation with PBE was carried out for Pm2GeAsPd6 after structural relaxation.

Output
DFT formation energy	-0.695	eV per atom
crystal system	triclinic
final energy	-5.6876	eV/atom

```
Pm2GeAsPd6
1.0
6.4035 -0.7387 -1.2014
-0.7321 6.3550 1.1690
1.9873 3.6389 5.0224
Pm Ge As Pd
2 1 1 6
direct
0.7537 0.2553 0.5000 Pm
0.2463 0.7447 0.5000 Pm
0.5000 0.5000 0.0000 Ge
0.0000 0.0000 0.0000 As
0.3081 0.3011 0.4953 Pd
0.9157 0.7494 0.8319 Pd
0.3074 0.8026 0.9941 Pd
0.6926 0.1974 0.0059 Pd
0.0843 0.2506 0.1681 Pd
0.6919 0.6989 0.5047 Pd
```



Entry 21:
A plane-wave DFT calculation with PBE was carried out for Pm2GeAs3Pd4 after structural relaxation.

Output
DFT formation energy	-0.859	eV per atom
crystal system	tetragonal
final energy	-5.7431	eV/atom

```
Pm2GeAs3Pd4
1.0
-2.8754 -0.6107 3.1310
-0.9674 -3.8497 -1.6394
7.4190 -4.4001 5.9549
Pm Ge As Pd
2 1 3 4
direct
0.5000 0.0000 0.2439 Pm
0.0000 0.5000 0.7561 Pm
0.5000 0.5000 0.5000 Ge
0.0000 0.0000 0.5000 As
0.5000 0.0000 0.8644 As
0.0000 0.5000 0.1356 As
0.5000 0.5000 0.0000 Pd
0.0000 0.0000 0.0000 Pd
0.5000 0.0000 0.6309 Pd
0.0000 0.5000 0.3691 Pd
```